DFT (PBE with a Hubbard U) results for MoHO2 after structural relaxation.

abc: 4.9349 3.3563 5.8219
angles: 90.00 113.10 90.00
With the nearest neighbours (Å) after each atom.
Space group P2_1/m (No. 11)
Asymmetric unit:
Mo: 0.0026 0.2500 0.2440  6 O 2.16-2.22
H: 0.4576 0.2500 0.7359  1 O 1.06
O: 0.2211 0.7500 0.1573  1 H 1.46
O: 0.2242 0.2500 0.6571  1 H 1.06

For the total moment, the calculation gives 3.0 μB per formula unit. The value obtained for the density of states at the Fermi level is 0.000 states/eV per cell. The volume is 44.3 Å³/f.u. For the energy relative to the lowest polymorph listed for this composition, the calculation gives 0 meV/atom.